{"formula": "Li5Mg2Cd2", "functional": "PBE", "state": "optimized geometry", "cell": [[7.6302, -3.5495, 0.0000], [7.6302, 3.5495, 0.0000], [0.0000, 0.0000, 7.0339]], "species": ["Li", "Li", "Li", "Li", "Li", "Li", "Li", "Li", "Li", "Li", "Mg", "Mg", "Mg", "Mg", "Cd", "Cd", "Cd", "Cd"], "frac_coords": [[0.0000, 0.0000, 0.0000], [0.0494, 0.6920, 0.6777], [0.1920, 0.5494, 0.1777], [0.3080, 0.9506, 0.6777], [0.4506, 0.8080, 0.1777], [0.5000, 0.5000, 0.5000], [0.5494, 0.1920, 0.8223], [0.6920, 0.0494, 0.3223], [0.8080, 0.4506, 0.8223], [0.9506, 0.3080, 0.3223], [0.2224, 0.2224, 0.0000], [0.2776, 0.2776, 0.5000], [0.7224, 0.7224, 0.5000], [0.7776, 0.7776, 0.0000], [0.1392, 0.8608, 0.3615], [0.3608, 0.6392, 0.8615], [0.6392, 0.3608, 0.1385], [0.8608, 0.1392, 0.6385]], "sg": "Cmce, No. 64", "ef_ev_per_atom": -0.0252}